Below is a geometry-optimized CaBr structure, with properties calculated at the GGA-PBE level.

Output
V ... 36.7 A^3/atom
Calculated density ... 2.72 g cm⁻³
Total energy ... -50.889 eV per cell
Uncorrected formation energy ... -1.34 eV/atom

POSCAR file:
```
CaBr
1.0
11.8187 0.0000 0.0000
0.0000 11.8187 0.0000
0.0000 0.0000 4.2027
Ca Br
8 8
direct
0.1046 0.6554 0.0000
0.1554 0.3954 0.5000
0.3446 0.1046 0.0000
0.3954 0.8446 0.5000
0.6046 0.1554 0.5000
0.6554 0.8954 0.0000
0.8446 0.6046 0.5000
0.8954 0.3446 0.0000
0.1137 0.2125 0.0000
0.2125 0.8863 0.0000
0.2875 0.6137 0.5000
0.3863 0.2875 0.5000
0.6137 0.7125 0.5000
0.7125 0.3863 0.5000
0.7875 0.1137 0.0000
0.8863 0.7875 0.0000
```

---

Below is a geometry-optimized CuReH3 structure, with properties calculated at the GGA-PBE level.

Output
V ... 8.1 A^3/atom
Calculated density ... 10.33 g cm⁻³
Total energy ... -23.829 eV per cell
Energy relative to the lowest polymorph listed for this composition ... 0.00 eV per formula unit

POSCAR file:
```
CuReH3
1.0
3.4376 0.0000 0.0000
0.0000 3.4376 0.0000
0.0000 0.0000 3.4376
Cu Re H
1 1 3
direct
0.0000 0.0000 0.0000
0.5000 0.5000 0.5000
0.0000 0.5000 0.5000
0.5000 0.0000 0.5000
0.5000 0.5000 0.0000
```

---

Below is a geometry-optimized RbAgHg2Sb structure, with properties calculated at the GGA-PBE level.

Output
V ... 37.7 A^3/atom
Calculated density ... 6.31 g cm⁻³
Total energy ... -8.594 eV per cell
Energy relative to the lowest polymorph listed for this composition ... 0.00 eV per formula unit
Uncorrected formation energy ... -0.01 eV/atom

POSCAR file:
```
RbAgHg2Sb
1.0
5.8755 0.0000 0.0000
0.0000 5.8755 0.0000
0.0000 0.0000 5.4573
Rb Ag Hg Sb
1 1 2 1
direct
0.0000 0.0000 0.0000
0.5000 0.5000 0.0000
0.0000 0.5000 0.5000
0.5000 0.0000 0.5000
0.5000 0.5000 0.5000
```

---

Below is a geometry-optimized BaSi2Au structure, with properties calculated at the GGA-PBE level.

Output
V ... 26.8 A^3/atom
Calculated density ... 6.05 g cm⁻³
Total energy ... -32.509 eV per cell
Uncorrected formation energy ... -0.05 eV/atom

POSCAR file:
```
BaSi2Au
1.0
3.9375 0.0000 0.0000
0.0000 6.5068 0.0000
0.0000 0.0000 8.3657
Ba Si Au
2 4 2
direct
0.0000 0.0000 0.0000
0.5000 0.5000 0.5000
0.0000 0.0000 0.5153
0.0000 0.5000 0.1747
0.5000 0.0000 0.6747
0.5000 0.5000 0.0153
0.0000 0.5000 0.8250
0.5000 0.0000 0.3250
```

---

Below is a geometry-optimized InPdIO2 structure, with properties calculated at the GGA-PBE level.

Output
V ... 21.9 A^3/atom
Calculated density ... 5.76 g cm⁻³
Total energy ... -20.080 eV per cell
Energy relative to the lowest polymorph listed for this composition ... 0.00 eV per formula unit
Uncorrected formation energy ... -0.14 eV/atom

POSCAR file:
```
InPdIO2
1.0
4.0283 0.0000 0.0000
0.0000 4.0283 0.0000
0.0000 0.0000 6.7544
In Pd I O
1 1 1 2
direct
0.0000 0.0000 0.0000
0.5000 0.5000 0.5000
0.0000 0.0000 0.5000
0.0000 0.5000 0.0000
0.5000 0.0000 0.0000
```

---

Below is a geometry-optimized CaTaCu2 structure, with properties calculated at the GGA-PBE level.

Output
V ... 18.1 A^3/atom
Calculated density ... 7.99 g cm⁻³
Total energy ... -21.420 eV per cell
Energy relative to the lowest polymorph listed for this composition ... 0.00 eV per formula unit

POSCAR file:
```
CaTaCu2
1.0
3.2095 0.0000 0.0000
0.0000 3.2405 0.0000
0.0000 0.0000 6.9531
Ca Ta Cu
1 1 2
direct
0.0000 0.0000 0.0000
0.0000 0.0000 0.5000
0.5000 0.5000 0.2981
0.5000 0.5000 0.7019
```

---

Below is a geometry-optimized TaAsCBr2 structure, with properties calculated at the GGA-PBE level.

Output
V ... 26.3 A^3/atom
Calculated density ... 5.39 g cm⁻³
Total energy ... -22.142 eV per cell
Energy relative to the lowest polymorph listed for this composition ... 0.00 eV per formula unit
Uncorrected formation energy ... 1.39 eV/atom

POSCAR file:
```
TaAsCBr2
1.0
5.0783 0.0000 0.0000
0.0000 5.0783 0.0000
0.0000 0.0000 5.1082
Ta As C Br
1 1 1 2
direct
0.0000 0.0000 0.0000
0.0000 0.0000 0.5000
0.5000 0.5000 0.5000
0.0000 0.5000 0.0000
0.5000 0.0000 0.0000
```

---

Below is a geometry-optimized Sm2DyZn2Sn2 structure, with properties calculated at the GGA-PBE level.

Output
V ... 25.4 A^3/atom
Calculated density ... 7.76 g cm⁻³
Total energy ... -27.032 eV per cell

POSCAR file:
```
Sm2DyZn2Sn2
1.0
2.3264 1.3432 9.4900
-2.3264 1.3432 9.4900
0.0000 -2.6863 9.4900
Sm Dy Zn Sn
2 1 2 2
direct
0.1296 0.1296 0.1296
0.8704 0.8704 0.8704
0.0000 0.0000 0.0000
0.4151 0.4151 0.4151
0.5849 0.5849 0.5849
0.2703 0.2703 0.2703
0.7297 0.7297 0.7297
```

---

Copy entry 3 word for word.
Below is a geometry-optimized RbAgHg2Sb structure, with properties calculated at the GGA-PBE level.

Output
V ... 37.7 A^3/atom
Calculated density ... 6.31 g cm⁻³
Total energy ... -8.594 eV per cell
Energy relative to the lowest polymorph listed for this composition ... 0.00 eV per formula unit
Uncorrected formation energy ... -0.01 eV/atom

POSCAR file:
```
RbAgHg2Sb
1.0
5.8755 0.0000 0.0000
0.0000 5.8755 0.0000
0.0000 0.0000 5.4573
Rb Ag Hg Sb
1 1 2 1
direct
0.0000 0.0000 0.0000
0.5000 0.5000 0.0000
0.0000 0.5000 0.5000
0.5000 0.0000 0.5000
0.5000 0.5000 0.5000
```

---

Among the records above, which one has the highest total energy? RbAgHg2Sb

---

What is the formula in the third record? RbAgHg2Sb

---

Which of these has the lowest calculated density? CaBr